Below is an optimized crystal structure of Sc2AlCl, with properties calculated at the PBE level. Values from VASP.

Quantum ESPRESSO input file:
```
&SYSTEM
  ibrav = 0, nat = 4, ntyp = 3
/
ATOMIC_SPECIES
Sc 44.96 Sc.upf
Al 26.98 Al.upf
Cl 35.45 Cl.upf
CELL_PARAMETERS angstrom
3.231 0.000 0.000
0.000 3.356 -0.014
0.000 0.039 7.792
ATOMIC_POSITIONS angstrom
Sc 0.000 2.519 0.178
Sc 0.000 2.534 3.696
Al 1.616 0.849 1.944
Cl 1.616 2.546 5.833
```

E_form (uncorrected) = -3.22 eV/f.u.
Calculated volume = 21.1 Å³/atom
DOS at the Fermi energy = 0.568 states/eV/atom
DFT total energy = -21.469 eV per cell
Energy above the most stable polymorph in this dataset = 0 meV/atom